Entry 1:
Crystalline K2H2I3 at its relaxed geometry. Source: Alexandria via LeMat-Bulk, functional PBE.

a b c (Å): 4.868 7.298 9.045
angles (deg): 69.73 76.89 73.57
Space group P-1 (No. 2)
One atom of each set of equivalent atoms:
K (0.002, 0.245, 0.253) x2
H (0.259, 0.364, 0.707) x2
I (0.380, 0.178, 0.599) x2
I (0.500, 0.500, 0.000) x1

Energy = -16.835 eV per cell
Size of the total moment = 1.00 μB/f.u.



Entry 2:
Crystalline Nb3SnBr at its relaxed geometry. Source: Alexandria via LeMat-Bulk, functional PBE.

a b c (Å): 5.158 5.158 5.158
angles (deg): 90.00 90.00 90.00
Space group Pm-3m (No. 221)
One atom of each set of equivalent atoms:
Nb (0.000, 0.000, 0.500) x3
Sn (0.000, 0.000, 0.000) x1
Br (0.500, 0.500, 0.500) x1

Energy = -26.872 eV per cell
D(E_F) = 10.843 states/eV/cell
Size of the total moment = 0.00 μB/f.u.
Uncorrected formation energy = 1.803 eV/atom



Entry 3:
Crystalline TiAg3N at its relaxed geometry. Source: Alexandria via LeMat-Bulk, functional PBE.

a b c (Å): 5.007 5.007 5.007
angles (deg): 90.00 90.00 90.00
Space group Pm-3m (No. 221)
One atom of each set of equivalent atoms:
Ti (0.000, 0.000, 0.000) x1
Ag (0.000, 0.000, 0.500) x3
N (0.500, 0.500, 0.500) x1

Energy = -13.415 eV per cell
D(E_F) = 3.508 states/eV/cell
Size of the total moment = 2.22 μB/f.u.
Uncorrected formation energy = 2.272 eV/atom